A geometry-optimized PtWO2F structure, computed with PBE with a Hubbard U.

It has space group P4/mmm (No. 123), with a = 4.032 Å, b = 4.032 Å, c = 4.185 Å, α = 90.00°, β = 90.00° and γ = 90.00°. Symmetry generates all atoms from Pt at (0.000, 0.000, 0.000), W at (0.500, 0.500, 0.500), O at (0.000, 0.500, 0.500) and F at (0.500, 0.500, 0.000).

The density of states at the Fermi level comes out at 0.583 states/eV/atom. Its energy is -5.76 eV per atom. The calculation puts the calculated volume at 68.0 Å³/cell. The calculated density comes out at 10.49 g cm⁻³.